# 1
# Pm4Sm5Ho2 | the Alexandria database | PBE-GGA | optimized geometry
data_Pm4Sm5Ho2
_chemical_formula_sum 'Pm4 Sm5 Ho2'
_symmetry_space_group_name_H-M 'P 1'
_symmetry_Int_Tables_number 1
_cell_length_a 3.713
_cell_length_b 9.296
_cell_length_c 12.303
_cell_angle_alpha 117.42
_cell_angle_beta 98.68
_cell_angle_gamma 90.00
loop_
_symmetry_equiv_pos_as_xyz
'x,y,z'
loop_
_atom_site_label
_atom_site_fract_x
_atom_site_fract_y
_atom_site_fract_z
Pm1 0.671 0.411 0.342
Ho1 0.398 0.322 0.797
Pm2 0.024 0.336 0.048
Sm1 0.127 0.024 0.255
Pm3 0.329 0.589 0.658
Sm2 0.235 0.811 0.470
Sm3 0.873 0.976 0.745
Sm4 0.765 0.189 0.530
Sm5 0.500 0.000 0.000
Pm4 0.976 0.664 0.952
Ho2 0.602 0.678 0.203
# Formation enthalpy at 0 K (eV/atom): 0.062
# Total magnetization (μB/f.u.): 0.00

# 2
# NdEuPbAu | the Alexandria database | PBE-GGA | optimized geometry
data_NdEuPbAu
_chemical_formula_sum 'Nd1 Eu1 Pb1 Au1'
_symmetry_space_group_name_H-M 'P 1'
_symmetry_Int_Tables_number 1
_cell_length_a 5.457
_cell_length_b 5.457
_cell_length_c 5.457
_cell_angle_alpha 60.00
_cell_angle_beta 60.00
_cell_angle_gamma 60.00
loop_
_symmetry_equiv_pos_as_xyz
'x,y,z'
loop_
_atom_site_label
_atom_site_fract_x
_atom_site_fract_y
_atom_site_fract_z
Au1 0.000 0.000 0.000
Eu1 0.750 0.750 0.750
Nd1 0.250 0.250 0.250
Pb1 0.500 0.500 0.500
# Formation enthalpy at 0 K (eV/atom): -0.649
# Total magnetization (μB/f.u.): 7.22

# 3
# CeZnInPd | the Alexandria database | PBE-GGA | optimized geometry
data_CeZnInPd
_chemical_formula_sum 'Ce1 Zn1 In1 Pd1'
_symmetry_space_group_name_H-M 'P 1'
_symmetry_Int_Tables_number 1
_cell_length_a 4.890
_cell_length_b 4.890
_cell_length_c 4.890
_cell_angle_alpha 60.00
_cell_angle_beta 60.00
_cell_angle_gamma 60.00
loop_
_symmetry_equiv_pos_as_xyz
'x,y,z'
loop_
_atom_site_label
_atom_site_fract_x
_atom_site_fract_y
_atom_site_fract_z
Ce1 0.750 0.750 0.750
Pd1 0.500 0.500 0.500
In1 0.250 0.250 0.250
Zn1 0.000 0.000 0.000
# Formation enthalpy at 0 K (eV/atom): -0.522
# Total magnetization (μB/f.u.): 0.51